No. 1
VASP calculation (SCAN) on SbPI2F at its PBEsol-relaxed geometry.

Output
As for the total energy: -24.626 eV per atom. The space-group type is P4/mmm, No. 123. Its formation energy without anion corrections is 0.31 eV/atom.

The structure in POSCAR format:
```
SbPI2F
1.0
-3.877 3.512 -0.338
-3.463 -3.681 1.467
0.746 1.308 5.042
I Sb P F
2 1 1 1
Direct
0.000 0.000 0.500 I
0.000 0.500 0.000 I
0.500 0.000 0.000 Sb
0.000 0.000 0.000 P
0.500 0.500 0.500 F
```


No. 2
VASP calculation (SCAN) on TaInRu2 at its PBEsol-relaxed geometry.

Output
As for the total energy: -42.392 eV per atom. The space-group type is Pmm2, No. 25. For the energy of formation, the calculation gives 0.013 eV/atom.

The structure in POSCAR format:
```
TaInRu2
1.0
2.884 0.000 0.000
0.000 4.108 0.000
0.000 0.000 5.368
Ru In Ta
2 1 1
Direct
0.500 0.500 0.266 Ru
0.000 0.000 0.992 Ru
0.500 0.500 0.771 In
0.000 0.000 0.470 Ta
```


No. 3
VASP calculation (SCAN) on Ba2MgBe at its PBEsol-relaxed geometry.

Output
As for the total energy: -21.766 eV per atom. The space-group type is P4mm, No. 99. As for the offset from the most stable computed form: 0 meV/atom. For the energy of formation, the calculation gives 0.341 eV/atom.

The structure in POSCAR format:
```
Ba2MgBe
1.0
-1.700 3.002 1.430
-0.905 -1.963 3.045
8.200 2.664 4.156
Be Mg Ba
1 1 2
Direct
0.000 0.000 0.441 Be
0.500 0.500 0.326 Mg
0.500 0.500 0.672 Ba
0.000 0.000 0.061 Ba
```